No. 1
Material: BiBPb2I
Method: DFT, PBE-GGA
State: relaxed

```
BiBPb2I
1.0
6.013 0.000 0.000
0.000 6.013 0.000
0.000 0.000 6.016
Bi B Pb I
1 1 2 1
Cartesian
0.000 0.000 0.000 Bi
3.007 3.007 0.000 B
0.000 3.007 3.008 Pb
3.007 0.000 3.008 Pb
0.000 0.000 3.008 I
```

- Total energy: -2.240 eV/atom
- Space group: No. 123

---

No. 2
Material: Rb2BiBI6
Method: DFT, PBE-GGA
State: relaxed

```
Rb2BiBI6
1.0
-4.184 4.184 5.889
4.184 -4.184 5.889
4.184 4.184 -5.889
Rb Bi B I
2 1 1 6
Cartesian
4.184 0.000 2.944 Rb
0.000 4.184 2.944 Rb
0.000 0.000 0.000 Bi
0.000 0.000 5.889 B
2.192 2.192 0.000 I
1.992 -1.992 5.889 I
0.000 0.000 3.101 I
0.000 0.000 8.676 I
-1.992 1.992 5.889 I
1.992 1.992 5.889 I
```

- Total energy: -2.621 eV/atom
- Space group: No. 139

---

No. 3
Material: BiBSb2I
Method: DFT, PBE-GGA
State: relaxed

```
BiBSb2I
1.0
5.891 0.000 0.000
0.000 5.891 0.000
0.000 0.000 6.212
Bi B Sb I
1 1 2 1
Cartesian
0.000 0.000 0.000 Bi
2.945 2.945 3.106 B
0.000 2.945 0.000 Sb
2.945 0.000 0.000 Sb
0.000 0.000 3.106 I
```

- Space group: No. 123
- E above lowest polymorph: 906 meV/atom

---

No. 4
Material: BiBSb2I
Method: DFT, PBE-GGA
State: relaxed

```
BiBSb2I
1.0
5.088 0.000 0.000
0.000 5.088 0.000
0.000 0.000 4.865
Bi B Sb I
1 1 2 1
Cartesian
0.000 0.000 0.000 Bi
2.544 2.544 2.432 B
0.000 2.544 2.432 Sb
2.544 0.000 2.432 Sb
2.544 2.544 0.000 I
```

- Space group: No. 123
- E above lowest polymorph: 0 meV/atom

---

No. 5
Material: Si2BiBI
Method: DFT, PBE-GGA
State: relaxed

```
Si2BiBI
1.0
5.365 0.000 0.000
0.000 5.365 0.000
0.000 0.000 4.498
Si Bi B I
2 1 1 1
Cartesian
0.000 2.682 0.000 Si
2.682 0.000 0.000 Si
0.000 0.000 2.249 Bi
2.682 2.682 2.249 B
2.682 2.682 0.000 I
```

- Total energy: -2.893 eV/atom
- Space group: No. 123

---

No. 6
Material: ZrBiBI2
Method: DFT, PBE-GGA
State: relaxed

```
ZrBiBI2
1.0
4.933 0.000 0.000
0.000 4.933 0.000
0.000 0.000 5.228
Zr Bi B I
1 1 1 2
Cartesian
0.000 0.000 0.000 Zr
2.467 2.467 0.000 Bi
2.467 2.467 2.614 B
0.000 2.467 2.614 I
2.467 0.000 2.614 I
```

- Total energy: -3.571 eV/atom
- Space group: No. 123

---

No. 7
Material: InBiB2
Method: DFT, PBE-GGA
State: relaxed

```
InBiB2
1.0
0.000 3.291 3.291
3.291 0.000 3.291
3.291 3.291 0.000
In Bi B
1 1 2
Cartesian
0.000 0.000 0.000 In
3.291 3.291 3.291 Bi
1.646 1.646 1.646 B
4.937 4.937 4.937 B
```

- Energy of formation: 1.52 eV/atom
- Space group: No. 225
- E above lowest polymorph: 496 meV/atom

---

No. 8
Material: InBi3B
Method: DFT, PBE-GGA
State: relaxed

```
InBi3B
1.0
5.160 0.000 0.000
0.000 5.160 0.000
0.000 0.000 5.160
In Bi B
1 3 1
Cartesian
0.000 0.000 0.000 In
0.000 2.580 2.580 Bi
2.580 0.000 2.580 Bi
2.580 2.580 0.000 Bi
2.580 2.580 2.580 B
```

- Energy of formation: 0.66 eV/atom
- Space group: No. 221
- E above lowest polymorph: 0 meV/atom

---

No. 9
Material: InBiB2
Method: DFT, PBE-GGA
State: relaxed

```
InBiB2
1.0
-2.761 2.761 5.362
2.761 -2.761 5.362
2.761 2.761 -5.362
In Bi B
2 2 4
Cartesian
0.000 0.000 0.000 In
0.000 2.761 2.681 In
2.761 0.000 2.681 Bi
0.000 0.000 5.362 Bi
4.142 1.353 -1.340 B
1.353 1.381 1.340 B
-1.381 1.408 4.021 B
1.408 1.381 6.702 B
```

- Energy of formation: 1.02 eV/atom
- Space group: No. 122
- E above lowest polymorph: 0 meV/atom

---

No. 10
Material: InBi3B
Method: DFT, PBE-GGA
State: relaxed

```
InBi3B
1.0
5.753 0.000 0.000
0.000 5.753 0.000
0.000 0.000 5.753
In Bi B
1 3 1
Cartesian
0.000 0.000 0.000 In
0.000 0.000 2.877 Bi
0.000 2.877 0.000 Bi
2.877 0.000 0.000 Bi
2.877 2.877 2.877 B
```

- Energy of formation: 1.59 eV/atom
- Space group: No. 221
- E above lowest polymorph: 924 meV/atom

---

No. 11
Material: InBi2B
Method: DFT, PBE-GGA
State: relaxed

```
InBi2B
1.0
-3.158 3.158 5.896
3.158 -3.158 5.896
3.158 3.158 -5.896
In Bi B
2 4 2
Cartesian
0.000 0.000 0.000 In
0.000 3.158 2.948 In
1.579 -1.142 4.422 Bi
2.016 1.579 1.474 Bi
1.579 4.299 -1.474 Bi
1.142 1.579 7.370 Bi
3.158 0.000 2.948 B
0.000 0.000 5.896 B
```

- Energy of formation: 0.50 eV/atom
- Space group: No. 122
- E above lowest polymorph: 0 meV/atom

---

No. 12
Material: InBi2B
Method: DFT, PBE-GGA
State: relaxed

```
InBi2B
1.0
0.000 3.681 3.681
3.681 0.000 3.681
3.681 3.681 0.000
In Bi B
1 2 1
Cartesian
0.000 0.000 0.000 In
1.841 1.841 1.841 Bi
5.522 5.522 5.522 Bi
3.681 3.681 3.681 B
```

- Energy of formation: 0.98 eV/atom
- Space group: No. 225
- E above lowest polymorph: 477 meV/atom

---

No. 13
Material: In2BiBO
Method: DFT, PBE-GGA
State: relaxed

```
In2BiBO
1.0
4.409 0.000 0.000
0.000 4.409 0.000
0.000 0.000 5.528
In Bi B O
2 1 1 1
Cartesian
0.000 2.204 0.000 In
2.204 0.000 0.000 In
0.000 0.000 2.764 Bi
0.000 0.000 0.000 B
2.204 2.204 2.764 O
```

- Total energy: -3.525 eV/atom
- Space group: No. 123

---

No. 14
Material: InBiBTe2
Method: DFT, PBE-GGA
State: relaxed

```
InBiBTe2
1.0
6.066 0.000 0.000
0.000 6.066 0.000
0.000 0.000 5.748
In Bi B Te
1 1 1 2
Cartesian
0.000 0.000 0.000 In
0.000 0.000 2.874 Bi
3.033 3.033 0.000 B
0.000 3.033 2.874 Te
3.033 0.000 2.874 Te
```

- Total energy: -2.543 eV/atom
- Space group: No. 123